1.
YSc3: optimized geometry, GGA-PBE.

Unit cell a=5.773 b=5.773 c=5.782 alpha=99.67 beta=99.67 gamma=33.68
Atoms (fractional coordinates):
Y  0.000  0.000  0.000
Sc  0.247  0.247  0.744
Sc  0.500  0.500  0.500
Sc  0.753  0.753  0.256

Theoretical density ... 3.5 g/cm³
Magnetic moment ... 0.0 Bohr magnetons per cell
Space group ... C2/m
Excess energy over the best structure of this formula in the dataset ... 45.9 meV per atom
DFT formation energy ... 0.0641 eV/atom

2.
LiMg2In2Ag2: optimized geometry, GGA-PBE.

Unit cell a=8.207 b=8.207 c=8.207 alpha=33.24 beta=33.24 gamma=33.24
Atoms (fractional coordinates):
Li  0.000  0.000  0.000
Mg  0.130  0.130  0.130
Mg  0.870  0.870  0.870
In  0.384  0.384  0.384
In  0.616  0.616  0.616
Ag  0.252  0.252  0.252
Ag  0.748  0.748  0.748

Theoretical density ... 5.6 g/cm³
Magnetic moment ... 0.0 Bohr magnetons per cell
Space group ... R-3m
DFT formation energy ... -0.1737 eV/atom

3.
NiSn6Pt: optimized geometry, GGA-PBE.

Unit cell a=8.005 b=8.005 c=9.404 alpha=123.89 beta=123.89 gamma=71.83
Atoms (fractional coordinates):
Ni  0.000  0.500  0.000
Ni  0.500  0.000  0.000
Sn  0.005  0.325  0.160
Sn  0.153  0.821  0.328
Sn  0.179  0.847  0.672
Sn  0.325  0.005  0.160
Sn  0.339  0.339  0.012
Sn  0.343  0.343  0.687
Sn  0.657  0.657  0.313
Sn  0.661  0.661  0.988
Sn  0.675  0.995  0.840
Sn  0.821  0.153  0.328
Sn  0.847  0.179  0.672
Sn  0.995  0.675  0.840
Pt  0.000  0.500  0.500
Pt  0.500  0.000  0.500

Theoretical density ... 7.7 g/cm³
Magnetic moment ... 0.0 Bohr magnetons per cell
Space group ... C2/m
DFT formation energy ... -0.1765 eV/atom

4.
Zn7Ag3Pd: optimized geometry, GGA-PBE.

Unit cell a=6.612 b=6.612 c=4.816 alpha=108.34 beta=108.34 gamma=87.61
Atoms (fractional coordinates):
Zn  0.000  0.000  0.000
Zn  0.081  0.587  0.345
Zn  0.279  0.279  0.931
Zn  0.413  0.919  0.655
Zn  0.587  0.081  0.345
Zn  0.721  0.721  0.069
Zn  0.919  0.413  0.655
Ag  0.295  0.705  0.000
Ag  0.500  0.500  0.500
Ag  0.705  0.295  0.000
Pd  0.000  0.000  0.500

Theoretical density ... 7.8 g/cm³
Magnetic moment ... 0.0 Bohr magnetons per cell
Space group ... C2/m
DFT formation energy ... -0.0155 eV/atom

5.
KCaICl2: optimized geometry, GGA-PBE.

Unit cell a=5.378 b=5.378 c=6.294 alpha=90.00 beta=90.00 gamma=90.00
Atoms (fractional coordinates):
K  0.000  0.000  0.000
Ca  0.500  0.500  0.500
I  0.500  0.500  0.000
Cl  0.000  0.500  0.500
Cl  0.500  0.000  0.500

Theoretical density ... 2.5 g/cm³
Magnetic moment ... 0.0 Bohr magnetons per cell
Space group ... P4/mmm
Raw total energy ... -18.15 eV for the cell shown

6.
Tb3SmTl3: optimized geometry, GGA-PBE.

Unit cell a=9.409 b=9.409 c=9.409 alpha=90.00 beta=90.00 gamma=90.00
Atoms (fractional coordinates):
Tb  0.076  0.424  0.576
Tb  0.178  0.178  0.178
Tb  0.178  0.822  0.322
Tb  0.322  0.178  0.822
Tb  0.322  0.822  0.678
Tb  0.424  0.576  0.076
Tb  0.576  0.076  0.424
Tb  0.678  0.322  0.822
Tb  0.678  0.678  0.678
Tb  0.822  0.322  0.178
Tb  0.822  0.678  0.322
Tb  0.924  0.924  0.924
Sm  0.073  0.573  0.927
Sm  0.427  0.427  0.427
Sm  0.573  0.927  0.073
Sm  0.927  0.073  0.573
Tl  0.000  0.248  0.879
Tl  0.000  0.748  0.621
Tl  0.121  0.500  0.252
Tl  0.248  0.879  0.000
Tl  0.252  0.121  0.500
Tl  0.379  0.500  0.752
Tl  0.500  0.252  0.121
Tl  0.500  0.752  0.379
Tl  0.621  0.000  0.748
Tl  0.748  0.621  0.000
Tl  0.752  0.379  0.500
Tl  0.879  0.000  0.248

Theoretical density ... 9.9 g/cm³
Magnetic moment ... 0.0 Bohr magnetons per cell
Space group ... P2_13
Excess energy over the best structure of this formula in the dataset ... 0.0 meV per atom
DFT formation energy ... -0.2624 eV/atom

7.
Hf2ReAsH: optimized geometry, GGA-PBE.

Unit cell a=4.118 b=4.118 c=4.367 alpha=90.00 beta=90.00 gamma=90.00
Atoms (fractional coordinates):
Hf  0.000  0.500  0.000
Hf  0.500  0.000  0.000
Re  0.000  0.000  0.500
As  0.500  0.500  0.500
H  0.500  0.500  0.000

Theoretical density ... 13.9 g/cm³
Magnetic moment ... 0.0 Bohr magnetons per cell
Space group ... P4/mmm
Raw total energy ... -40.25 eV for the cell shown

8.
Tb5Ce3Bi8: optimized geometry, GGA-PBE.

Unit cell a=9.066 b=9.066 c=9.066 alpha=60.04 beta=60.04 gamma=60.04
Atoms (fractional coordinates):
Tb  0.000  0.000  0.000
Tb  0.000  0.500  0.500
Tb  0.500  0.000  0.500
Tb  0.500  0.500  0.000
Tb  0.500  0.500  0.500
Ce  0.000  0.000  0.500
Ce  0.000  0.500  0.000
Ce  0.500  0.000  0.000
Bi  0.250  0.250  0.747
Bi  0.250  0.747  0.250
Bi  0.252  0.252  0.252
Bi  0.253  0.750  0.750
Bi  0.747  0.250  0.250
Bi  0.748  0.748  0.748
Bi  0.750  0.253  0.750
Bi  0.750  0.750  0.253

Theoretical density ... 9.1 g/cm³
Magnetic moment ... 2.5 Bohr magnetons per cell
Space group ... R-3m
DFT formation energy ... -0.8476 eV/atom

9.
KP2Se: optimized geometry, GGA-PBE.

Unit cell a=3.599 b=4.952 c=5.800 alpha=90.00 beta=90.07 gamma=90.00
Atoms (fractional coordinates):
K  0.000  0.000  0.000
P  0.499  0.500  0.323
P  0.501  0.500  0.677
Se  0.500  0.000  0.500

Theoretical density ... 2.9 g/cm³
Magnetic moment ... 0.0 Bohr magnetons per cell
Space group ... P2/m
Raw total energy ... -15.61 eV for the cell shown

10.
Cs2HoZn2S4: optimized geometry, GGA-PBE.

Unit cell a=8.381 b=8.381 c=8.388 alpha=111.73 beta=111.73 gamma=27.21
Atoms (fractional coordinates):
Cs  0.130  0.130  0.063
Cs  0.870  0.870  0.937
Ho  0.000  0.000  0.500
Zn  0.322  0.322  0.478
Zn  0.678  0.678  0.522
S  0.180  0.180  0.691
S  0.466  0.466  0.698
S  0.534  0.534  0.302
S  0.820  0.820  0.309

Theoretical density ... 4.6 g/cm³
Magnetic moment ... 0.0 Bohr magnetons per cell
Space group ... C2/m
Raw total energy ... -35.75 eV for the cell shown

11.
Na4Tl12Hg: optimized geometry, GGA-PBE.

Unit cell a=9.135 b=9.135 c=9.135 alpha=109.47 beta=109.47 gamma=109.47
Atoms (fractional coordinates):
Na  0.000  0.000  0.500
Na  0.000  0.500  0.000
Na  0.500  0.000  0.000
Na  0.500  0.500  0.500
Tl  0.149  0.500  0.351
Tl  0.149  0.798  0.649
Tl  0.202  0.351  0.851
Tl  0.351  0.149  0.500
Tl  0.351  0.851  0.202
Tl  0.500  0.351  0.149
Tl  0.500  0.649  0.851
Tl  0.649  0.149  0.798
Tl  0.649  0.851  0.500
Tl  0.798  0.649  0.149
Tl  0.851  0.202  0.351
Tl  0.851  0.500  0.649
Hg  0.000  0.000  0.000

Theoretical density ... 7.8 g/cm³
Magnetic moment ... 0.0 Bohr magnetons per cell
Space group ... Im-3
DFT formation energy ... 0.1913 eV/atom

12.
Nd3Y3Sc2: optimized geometry, GGA-PBE.

Unit cell a=10.427 b=10.427 c=10.427 alpha=151.98 beta=151.91 gamma=40.09
Atoms (fractional coordinates):
Nd  0.000  0.000  0.000
Nd  0.368  0.868  0.500
Nd  0.632  0.132  0.500
Y  0.132  0.632  0.500
Y  0.500  0.500  0.000
Y  0.868  0.368  0.500
Sc  0.249  0.249  0.000
Sc  0.751  0.751  0.000

Theoretical density ... 5.2 g/cm³
Magnetic moment ... 0.0 Bohr magnetons per cell
Space group ... Immm
DFT formation energy ... 0.0459 eV/atom

- Look up the magnetic moment of the fourth one.
  0.0 Bohr magnetons per cell

Repeat the fifth record exactly.
KCaICl2: optimized geometry, GGA-PBE.

Unit cell a=5.378 b=5.378 c=6.294 alpha=90.00 beta=90.00 gamma=90.00
Atoms (fractional coordinates):
K  0.000  0.000  0.000
Ca  0.500  0.500  0.500
I  0.500  0.500  0.000
Cl  0.000  0.500  0.500
Cl  0.500  0.000  0.500

Theoretical density ... 2.5 g/cm³
Magnetic moment ... 0.0 Bohr magnetons per cell
Space group ... P4/mmm
Raw total energy ... -18.15 eV for the cell shown